Entry 1:
DFT (PBE) results for a relaxed ReAuSeN2 crystal.

* energy relative to the lowest polymorph listed for this composition: 1823.4 meV per atom
* symmetry: No. 123
* density of states at the Fermi level: 0.78 states/eV per atom

Cell: 3.789 3.789 7.524 Å, 90.00 90.00 90.00°
Last column: magnetic moment on the atom in μB.
Atoms (fractional coordinates):
1 Re 0.500 0.500 0.500  2.82
2 Se 0.000 0.000 0.500  0.03
3 N 0.000 0.500 0.000  -0.23
4 N 0.500 0.000 0.000  -0.23
5 Au 0.000 0.000 0.000  -0.07

---

Entry 2:
DFT (PBE) results for a relaxed NdY4Mg crystal.

* ΔH_f (0 K): 0.026 eV per atom
* energy relative to the lowest polymorph listed for this composition: 43.8 meV per atom
* symmetry: No. 15
* density of states at the Fermi level: 1.52 states/eV per atom

Cell: 6.146 6.146 11.944 Å, 75.55 75.55 60.48°
Atoms (fractional coordinates):
1 Y 0.415 0.252 0.751
2 Y 0.672 0.165 0.001
3 Y 0.165 0.672 0.501
4 Y 0.328 0.835 0.999
5 Y 0.748 0.585 0.749
6 Nd 0.000 0.500 0.000
7 Nd 0.500 0.000 0.500
8 Mg 0.079 0.921 0.750
9 Mg 0.921 0.079 0.250
10 Y 0.585 0.748 0.249
11 Y 0.835 0.328 0.499
12 Y 0.252 0.415 0.251

---

Entry 3:
DFT (PBE) results for a relaxed TbPmCSe crystal.

* VASP energy: -6.569 eV/atom
* symmetry: No. 160
* density of states at the Fermi level: 0.03 states/eV per atom

Cell: 3.805 3.805 7.206 Å, 90.01 105.30 120.00°
Atoms (fractional coordinates):
1 Pm 0.503 0.149 0.668
2 Tb 0.105 0.951 0.071
3 C 0.307 0.551 0.874
4 Se 0.963 0.380 0.357

---

Entry 4:
DFT (PBE) results for a relaxed ReSi8 crystal.

* VASP energy: -5.857 eV/atom
* symmetry: No. 139
* density of states at the Fermi level: 0.31 states/eV per atom

Cell: 5.957 5.957 5.957 Å, 96.44 96.44 140.88°
Atoms (fractional coordinates):
1 Si 0.661 0.661 0.322
2 Si 0.339 0.339 0.678
3 Si 0.661 0.339 0.000
4 Si 0.339 0.661 0.000
5 Si 0.000 0.332 0.332
6 Si 0.332 0.000 0.332
7 Si 0.668 0.000 0.668
8 Re 0.000 0.000 0.000
9 Si 0.000 0.668 0.668

---

Entry 5:
DFT (PBE) results for a relaxed SrIrN2 crystal.

* energy relative to the lowest polymorph listed for this composition: 0.0 meV per atom
* symmetry: No. 14
* density of states at the Fermi level: 0.10 states/eV per atom

Cell: 8.291 5.298 6.103 Å, 72.16 90.00 90.00°
Atoms (fractional coordinates):
1 Sr 0.099 0.347 0.322
2 N 0.402 0.401 0.217
3 Sr 0.599 0.153 0.678
4 N 0.819 0.571 0.267
5 N 0.181 0.429 0.733
6 Sr 0.401 0.847 0.322
7 N 0.098 0.901 0.217
8 N 0.681 0.071 0.267
9 Ir 0.643 0.460 0.120
10 N 0.902 0.099 0.783
11 N 0.319 0.929 0.733
12 Ir 0.357 0.540 0.880
13 N 0.598 0.599 0.783
14 Ir 0.857 0.960 0.120
15 Sr 0.901 0.653 0.678
16 Ir 0.143 0.040 0.880

---

Entry 6:
DFT (PBE) results for a relaxed La2Nd4DyTm crystal.

* ΔH_f (0 K): 0.024 eV per atom
* symmetry: No. 10
* density of states at the Fermi level: 1.73 states/eV per atom

Cell: 5.175 5.145 11.605 Å, 63.58 90.00 90.00°
Atoms (fractional coordinates):
1 Tm 0.000 0.500 0.500
2 Dy 0.500 0.500 0.000
3 La 0.000 0.000 0.000
4 Nd 0.500 0.750 0.250
5 La 0.500 0.000 0.500
6 Nd 0.000 0.752 0.749
7 Nd 0.500 0.250 0.750
8 Nd 0.000 0.248 0.251

---

Entry 7:
DFT (PBE) results for a relaxed KNiSeN2 crystal.

* energy relative to the lowest polymorph listed for this composition: 1381.6 meV per atom
* symmetry: No. 123
* density of states at the Fermi level: 1.35 states/eV per atom

Cell: 4.743 4.743 6.272 Å, 90.00 90.00 90.00°
Last column: magnetic moment on the atom in μB.
Atoms (fractional coordinates):
1 K 0.000 0.000 0.000  0.12
2 Ni 0.500 0.500 0.500  1.16
3 Se 0.000 0.000 0.500  0.36
4 N 0.500 0.000 0.000  1.72
5 N 0.000 0.500 0.000  1.72

---

Entry 8:
DFT (PBE) results for a relaxed CdGa2Pd2 crystal.

* ΔH_f (0 K): -0.313 eV per atom
* energy relative to the lowest polymorph listed for this composition: 143.0 meV per atom
* symmetry: No. 139
* density of states at the Fermi level: 0.40 states/eV per atom

Cell: 4.117 4.117 6.139 Å, 70.41 70.41 90.00°
Atoms (fractional coordinates):
1 Pd 0.750 0.250 0.500
2 Cd 0.000 0.000 0.000
3 Ga 0.386 0.386 0.228
4 Pd 0.250 0.750 0.500
5 Ga 0.614 0.614 0.772

---

- Among the records above, which one has the lowest density of states at the Fermi level?
  TbPmCSe

---

Copy entry 8 word for word.
DFT (PBE) results for a relaxed CdGa2Pd2 crystal.

* ΔH_f (0 K): -0.313 eV per atom
* energy relative to the lowest polymorph listed for this composition: 143.0 meV per atom
* symmetry: No. 139
* density of states at the Fermi level: 0.40 states/eV per atom

Cell: 4.117 4.117 6.139 Å, 70.41 70.41 90.00°
Atoms (fractional coordinates):
1 Pd 0.750 0.250 0.500
2 Cd 0.000 0.000 0.000
3 Ga 0.386 0.386 0.228
4 Pd 0.250 0.750 0.500
5 Ga 0.614 0.614 0.772

---

- Among the records above, which one has the highest density of states at the Fermi level?
  La2Nd4DyTm